Here is a relaxed structure of Rb2ZnCd2 from the Alexandria database. Energies are from PBE-GGA.

```
Rb2ZnCd2
1.0
-3.841 -2.172 -2.178
3.813 -4.204 -2.532
-0.714 -0.403 7.221
Cd Zn Rb
2 1 2
Cartesian
-0.998 -2.103 -1.701 Cd
0.970 -4.273 -3.008 Cd
0.000 0.000 0.000 Zn
1.626 -3.486 0.609 Rb
-2.368 -3.294 1.902 Rb
```

Values from the calculation:
D(E_F) in states/eV/f.u.: 1.50
Energy relative to the elements in eV/f.u.: 0.0
Energy relative to the lowest polymorph listed for this composition in eV/atom: 0.0000

---

Here is a relaxed structure of Sc3OsC3 from the Alexandria database. Energies are from PBE-GGA.

```
Sc3OsC3
1.0
4.734 0.000 0.000
0.000 6.376 -0.618
0.000 -0.358 6.396
C Os Sc
6 2 6
Cartesian
1.184 2.513 0.758 C
1.184 5.578 0.213 C
3.551 0.440 5.564 C
3.551 3.505 5.019 C
3.551 0.860 2.480 C
1.184 5.158 3.297 C
1.184 4.257 1.588 Os
3.551 1.760 4.189 Os
1.184 0.373 5.634 Sc
1.184 3.535 5.010 Sc
3.551 5.150 3.328 Sc
3.551 5.644 0.143 Sc
3.551 2.483 0.767 Sc
1.184 0.868 2.449 Sc
```

Values from the calculation:
D(E_F) in states/eV/f.u.: 4.23
Energy relative to the elements in eV/f.u.: -3.1

---

Here is a relaxed structure of Tb8TlTc2 from the Alexandria database. Energies are from PBE-GGA.

```
Tb8TlTc2
1.0
5.164 0.071 -1.548
-0.908 6.322 -2.730
-0.093 0.096 9.075
Tb Tc Tl
8 2 1
Cartesian
0.978 5.497 0.108 Tb
2.013 4.592 3.514 Tb
4.336 2.896 1.799 Tb
1.237 2.279 0.821 Tb
4.925 0.209 3.631 Tb
2.956 1.842 6.523 Tb
0.136 3.502 6.574 Tb
2.997 5.942 -2.529 Tb
2.117 1.926 3.746 Tc
3.546 3.991 -0.781 Tc
-0.264 6.259 5.379 Tl
```

Values from the calculation:
D(E_F) in states/eV/f.u.: 6.51
Energy relative to the elements in eV/f.u.: -0.9

---

Here is a relaxed structure of Na4Ac3PuSe8 from the Alexandria database. Energies are from PBE-GGA.

```
Na4Ac3PuSe8
1.0
8.909 0.000 0.000
0.000 8.684 -0.168
-4.455 -4.451 6.301
Na Se Ac Pu
4 8 3 1
Cartesian
-2.227 -2.225 3.151 Na
4.455 0.000 0.000 Na
0.000 0.000 0.000 Na
2.227 -2.225 3.151 Na
0.000 -0.038 3.118 Se
2.140 2.266 -0.038 Se
0.000 4.279 2.898 Se
4.455 -0.046 3.235 Se
6.769 2.266 -0.038 Se
4.455 4.271 3.015 Se
2.314 1.967 6.171 Se
-2.314 1.967 6.171 Se
2.227 2.117 3.067 Ac
4.455 4.342 -0.084 Ac
-2.227 2.117 3.067 Ac
0.000 4.342 -0.084 Pu
```

Values from the calculation:
D(E_F) in states/eV/f.u.: 13.48
E_form (uncorrected) in eV per atom: -1.63

---

Here is a relaxed structure of Zn2GaFe8 from the Alexandria database. Energies are from PBE-GGA.

```
Zn2GaFe8
1.0
-0.394 -1.212 -5.318
-3.280 -4.163 1.192
-4.313 3.275 -0.427
Fe Zn Ga
8 2 1
Cartesian
-1.801 -0.535 -1.310 Fe
-4.192 1.281 -1.546 Fe
-6.011 -1.028 -0.885 Fe
-4.367 0.743 -3.905 Fe
-3.620 -2.843 -0.649 Fe
-6.185 -1.565 -3.243 Fe
-3.794 -3.381 -3.007 Fe
-1.976 -1.073 -3.668 Fe
-1.640 -2.082 0.596 Zn
-2.156 1.638 -0.214 Zn
-3.993 -1.050 -2.277 Ga
```

Values from the calculation:
D(E_F) in states/eV/f.u.: 7.39
Energy relative to the elements in eV/f.u.: 6.0

---

Here is a relaxed structure of Ag2Se2Cl from the Alexandria database. Energies are from PBE-GGA.

```
Ag2Se2Cl
1.0
-6.322 -3.942 4.376
5.286 -0.968 6.765
-0.847 2.489 1.018
Ag Se Cl
4 4 2
Cartesian
0.736 -0.972 2.990 Ag
-3.331 -2.778 4.018 Ag
-1.772 -3.937 8.151 Ag
2.295 -2.132 7.123 Ag
-3.962 -2.517 6.761 Se
2.079 0.097 5.399 Se
0.132 -2.097 9.139 Se
-2.015 -0.324 3.020 Se
0.000 0.000 0.000 Cl
-0.518 -2.455 5.570 Cl
```

Values from the calculation:
D(E_F) in states/eV/f.u.: 3.00
E_form (uncorrected) in eV per atom: 0.10